This record from Alexandria describes an optimized crystal structure of TiBiS2. The functional is GGA-PBE.

```
data_TiBiS2
_space_group_name_H-M_alt 'P n a 21'
_space_group_IT_number 33
_space_group_name_Hall 'P 2c -2n'
_cell_length_a 6.431
_cell_length_b 10.013
_cell_length_c 6.562
_cell_angle_alpha 90.00
_cell_angle_beta 90.00
_cell_angle_gamma 90.00
loop_
_atom_site_label
_atom_site_type_symbol
_atom_site_fract_x
_atom_site_fract_y
_atom_site_fract_z
Ti1 Ti 0.089 0.134 0.000
Bi1 Bi 0.053 0.732 0.872
S1 S 0.036 0.935 0.175
S2 S 0.053 0.644 0.463
```

Formation energy (no corrections): -0.691 eV/atom


This record from Alexandria describes an optimized crystal structure of TiBiS2. The functional is GGA-PBE.

```
data_TiBiS2
_space_group_name_H-M_alt 'C 1 2/c 1'
_space_group_IT_number 15
_space_group_name_Hall '-C 2yc'
_cell_length_a 10.883
_cell_length_b 11.527
_cell_length_c 12.868
_cell_angle_alpha 90.00
_cell_angle_beta 101.27
_cell_angle_gamma 90.00
loop_
_atom_site_label
_atom_site_type_symbol
_atom_site_fract_x
_atom_site_fract_y
_atom_site_fract_z
Ti1 Ti 0.048 0.016 0.159
Ti2 Ti 0.145 0.180 0.925
Bi1 Bi 0.128 0.355 0.572
Bi2 Bi 0.193 0.341 0.347
S1 S 0.000 0.174 0.750
S2 S 0.000 0.198 0.250
S3 S 0.039 0.125 0.512
S4 S 0.186 0.005 0.841
S5 S 0.248 0.358 0.900
```

Formation energy (no corrections): -0.760 eV/atom


This record from Alexandria describes an optimized crystal structure of Ti4BiS8. The functional is GGA-PBE.

```
data_Ti4BiS8
_space_group_name_H-M_alt 'R -3 m'
_space_group_IT_number 166
_space_group_name_Hall '-R 3 2"'
_cell_length_a 6.8531
_cell_length_b 6.8531
_cell_length_c 20.7194
_cell_angle_alpha 90.00
_cell_angle_beta 90.00
_cell_angle_gamma 120.00
loop_
_atom_site_label
_atom_site_type_symbol
_atom_site_fract_x
_atom_site_fract_y
_atom_site_fract_z
Ti1 Ti 0.0000 0.0000 0.0000
Ti2 Ti 0.0000 0.5000 0.0000
Bi1 Bi 0.0000 0.0000 0.5000
S1 S 0.0000 0.0000 0.2650
S2 S 0.0005 0.5002 0.2624
```

Formation energy (no corrections): -1.134 eV/atom
Energy above the most stable polymorph in this dataset: 0 meV/atom


This record from Alexandria describes an optimized crystal structure of TiBiS2. The functional is GGA-PBE.

```
data_TiBiS2
_space_group_name_H-M_alt 'C m c m'
_space_group_IT_number 63
_space_group_name_Hall '-C 2c 2'
_cell_length_a 3.655
_cell_length_b 20.282
_cell_length_c 4.734
_cell_angle_alpha 90.00
_cell_angle_beta 90.00
_cell_angle_gamma 90.00
loop_
_atom_site_label
_atom_site_type_symbol
_atom_site_fract_x
_atom_site_fract_y
_atom_site_fract_z
Ti1 Ti 0.000 0.055 0.250
Bi1 Bi 0.000 0.325 0.250
S1 S 0.000 0.062 0.750
S2 S 0.000 0.181 0.250
```

Formation energy (no corrections): -0.421 eV/atom


This record from Alexandria describes an optimized crystal structure of TiBiS2. The functional is GGA-PBE.

```
data_TiBiS2
_space_group_name_H-M_alt 'P n m a'
_space_group_IT_number 62
_space_group_name_Hall '-P 2ac 2n'
_cell_length_a 8.246
_cell_length_b 3.729
_cell_length_c 11.438
_cell_angle_alpha 90.00
_cell_angle_beta 90.00
_cell_angle_gamma 90.00
loop_
_atom_site_label
_atom_site_type_symbol
_atom_site_fract_x
_atom_site_fract_y
_atom_site_fract_z
Ti1 Ti 0.006 0.250 0.141
Bi1 Bi 0.012 0.750 0.366
S1 S 0.138 0.250 0.945
S2 S 0.221 0.750 0.716
```

Formation energy (no corrections): -0.709 eV/atom


This record from Alexandria describes an optimized crystal structure of TiBiS2. The functional is GGA-PBE.

```
data_TiBiS2
_space_group_name_H-M_alt 'P 4/m m m'
_space_group_IT_number 123
_space_group_name_Hall '-P 4 2'
_cell_length_a 4.803
_cell_length_b 4.803
_cell_length_c 3.375
_cell_angle_alpha 90.00
_cell_angle_beta 90.00
_cell_angle_gamma 90.00
loop_
_atom_site_label
_atom_site_type_symbol
_atom_site_fract_x
_atom_site_fract_y
_atom_site_fract_z
Ti1 Ti 0.000 0.000 0.000
Bi1 Bi 0.500 0.500 0.000
S1 S 0.000 0.500 0.500
```

Formation energy (no corrections): -0.201 eV/atom


> What is the formation energy (no corrections) in the first record?

-0.691 eV/atom


> Which value of formation energy (no corrections) does entry 2 give?

-0.760 eV/atom


Please write out number 3 again, unchanged.
This record from Alexandria describes an optimized crystal structure of Ti4BiS8. The functional is GGA-PBE.

```
data_Ti4BiS8
_space_group_name_H-M_alt 'R -3 m'
_space_group_IT_number 166
_space_group_name_Hall '-R 3 2"'
_cell_length_a 6.8531
_cell_length_b 6.8531
_cell_length_c 20.7194
_cell_angle_alpha 90.00
_cell_angle_beta 90.00
_cell_angle_gamma 120.00
loop_
_atom_site_label
_atom_site_type_symbol
_atom_site_fract_x
_atom_site_fract_y
_atom_site_fract_z
Ti1 Ti 0.0000 0.0000 0.0000
Ti2 Ti 0.0000 0.5000 0.0000
Bi1 Bi 0.0000 0.0000 0.5000
S1 S 0.0000 0.0000 0.2650
S2 S 0.0005 0.5002 0.2624
```

Formation energy (no corrections): -1.134 eV/atom
Energy above the most stable polymorph in this dataset: 0 meV/atom


> Which of these has the highest formation energy (no corrections)?

number 6